one:
Pm4Ho8Er3 | the Alexandria database | GGA-PBE | optimized geometry; spin magnetization = 0.003 μB/atom; N(E_F) = 29.9 states/eV/cell
1.0
6.675 -6.400 0.000
6.675 6.400 0.000
-3.362 0.000 5.820
Pm Ho Er
4 8 3
Direct
0.000 0.000 0.000 Pm
0.000 0.000 0.500 Pm
0.000 0.500 0.000 Pm
0.500 0.000 0.000 Pm
0.255 0.745 0.000 Ho
0.267 0.267 0.513 Ho
0.271 0.271 0.038 Ho
0.362 0.638 0.500 Ho
0.638 0.362 0.500 Ho
0.729 0.729 0.962 Ho
0.733 0.733 0.487 Ho
0.745 0.255 0.000 Ho
0.000 0.500 0.500 Er
0.500 0.000 0.500 Er
0.500 0.500 0.000 Er

two:
Pm4Ho8Er3 | the Alexandria database | GGA-PBE | optimized geometry; spin magnetization = 0.000 μB/atom; N(E_F) = 22.2 states/eV/cell
1.0
3.461 1.998 11.762
-3.461 1.998 11.762
0.000 -3.997 11.762
Pm Ho Er
4 8 3
Direct
0.000 0.000 0.000 Pm
0.163 0.163 0.163 Pm
0.500 0.500 0.500 Pm
0.837 0.837 0.837 Pm
0.250 0.250 0.747 Ho
0.250 0.747 0.250 Ho
0.253 0.750 0.750 Ho
0.255 0.255 0.255 Ho
0.745 0.745 0.745 Ho
0.747 0.250 0.250 Ho
0.750 0.253 0.750 Ho
0.750 0.750 0.253 Ho
0.000 0.500 0.500 Er
0.500 0.000 0.500 Er
0.500 0.500 0.000 Er

Which of them is the most stable, and which is the least stable? two and one, in that order.

one:
PmHo7Er3 | the Alexandria database | GGA-PBE | optimized geometry; spin magnetization = 0.000 μB/atom; N(E_F) = 17.4 states/eV/cell
1.0
6.905 0.000 0.000
0.000 5.502 0.000
-3.301 0.000 9.257
Pm Ho Er
1 7 3
Direct
0.000 0.000 0.000 Pm
0.000 0.000 0.500 Ho
0.148 0.500 0.790 Ho
0.325 0.500 0.143 Ho
0.424 0.000 0.332 Ho
0.576 0.000 0.668 Ho
0.675 0.500 0.857 Ho
0.852 0.500 0.210 Ho
0.277 0.500 0.497 Er
0.500 0.000 0.000 Er
0.723 0.500 0.503 Er

two:
PmHo7Er3 | the Alexandria database | GGA-PBE | optimized geometry; spin magnetization = 0.000 μB/atom; N(E_F) = 17.5 states/eV/cell
1.0
7.014 0.000 0.000
-3.507 6.075 0.000
0.000 0.000 8.542
Pm Ho Er
1 7 3
Direct
0.000 0.000 0.000 Pm
0.003 0.501 0.997 Ho
0.331 0.165 0.330 Ho
0.333 0.667 0.327 Ho
0.499 0.501 0.997 Ho
0.499 0.997 0.997 Ho
0.835 0.165 0.330 Ho
0.835 0.669 0.330 Ho
0.167 0.334 0.662 Er
0.167 0.833 0.662 Er
0.666 0.833 0.662 Er

Which of them is the most stable, and which is the least stable? one and two, in that order.

one:
Pm3HoEr3 | the Alexandria database | GGA-PBE | optimized geometry; spin magnetization = 0.000 μB/atom; N(E_F) = 21.8 states/eV/cell
1.0
3.094 1.786 14.314
-3.094 1.786 14.314
0.000 -3.573 14.314
Pm Ho Er
6 2 6
Direct
0.131 0.462 0.800 Pm
0.200 0.869 0.538 Pm
0.462 0.800 0.131 Pm
0.538 0.200 0.869 Pm
0.800 0.131 0.462 Pm
0.869 0.538 0.200 Pm
0.333 0.333 0.333 Ho
0.667 0.667 0.667 Ho
0.065 0.731 0.398 Er
0.269 0.602 0.935 Er
0.398 0.065 0.731 Er
0.602 0.935 0.269 Er
0.731 0.398 0.065 Er
0.935 0.269 0.602 Er

two:
Pm3HoEr3 | the Alexandria database | GGA-PBE | optimized geometry; spin magnetization = 0.000 μB/atom; N(E_F) = 25.3 states/eV/cell
1.0
9.587 0.000 0.000
-4.793 8.302 0.000
0.000 0.000 5.717
Pm Ho Er
6 2 6
Direct
0.049 0.806 0.250 Pm
0.194 0.243 0.250 Pm
0.243 0.049 0.750 Pm
0.757 0.951 0.250 Pm
0.806 0.757 0.750 Pm
0.951 0.194 0.750 Pm
0.333 0.667 0.250 Ho
0.667 0.333 0.750 Ho
0.095 0.617 0.750 Er
0.383 0.479 0.750 Er
0.479 0.095 0.250 Er
0.521 0.905 0.750 Er
0.617 0.521 0.250 Er
0.905 0.383 0.250 Er

Which of them is the most stable, and which is the least stable? two and one, in that order.

one:
PmHo4Er | the Alexandria database | GGA-PBE | optimized geometry; spin magnetization = 0.000 μB/atom; N(E_F) = 12.7 states/eV/cell
1.0
3.438 0.000 0.000
0.000 5.780 0.000
0.000 0.000 9.858
Pm Ho Er
1 4 1
Direct
0.000 0.000 0.000 Pm
0.000 0.500 0.191 Ho
0.000 0.500 0.809 Ho
0.500 0.000 0.314 Ho
0.500 0.000 0.686 Ho
0.500 0.500 0.500 Er

two:
PmHo4Er | the Alexandria database | GGA-PBE | optimized geometry; spin magnetization = 0.135 μB/atom; N(E_F) = 11.0 states/eV/cell
1.0
0.000 4.633 4.633
4.633 0.000 4.633
4.633 4.633 0.000
Pm Ho Er
1 4 1
Direct
0.000 0.000 0.000 Pm
0.126 0.625 0.625 Ho
0.625 0.126 0.625 Ho
0.625 0.625 0.126 Ho
0.625 0.625 0.625 Ho
0.250 0.250 0.250 Er

Which of them is the most stable, and which is the least stable? one and two, in that order.